# 1
Density functional theory data (PBE-GGA) for a geometry-optimized Ga2Tc2Ge structure.

Summary:
- mass density (g/cm3) = 8.7
- electronic total energy (eV per atom) = -6.176

```
data_Ga2Tc2Ge
_chemical_formula_sum 'Ga2 Tc2 Ge1'
_cell_length_a 7.140
_cell_length_b 7.140
_cell_length_c 7.140
_cell_angle_alpha 152.39
_cell_angle_beta 152.39
_cell_angle_gamma 39.44
_space_group_name_H-M_alt 'P 1'
_space_group_IT_number 1
_space_group_name_Hall 'P 1'
loop_
_atom_site_label
_atom_site_type_symbol
_atom_site_fract_x
_atom_site_fract_y
_atom_site_fract_z
Ga1 Ga 0.250 0.750 0.500
Ga2 Ga 0.750 0.250 0.500
Tc1 Tc 0.402 0.402 0.000
Tc2 Tc 0.598 0.598 0.000
Ge1 Ge 0.000 0.000 0.000
```

=====

# 2
Density functional theory data (PBE-GGA) for a geometry-optimized Al4CuAgS2 structure.

Summary:
- mass density (g/cm3) = 3.3
- electronic total energy (eV per atom) = -3.791

```
data_Al4CuAgS2
_chemical_formula_sum 'Al4 Cu1 Ag1 S2'
_cell_length_a 6.513
_cell_length_b 6.513
_cell_length_c 6.513
_cell_angle_alpha 126.18
_cell_angle_beta 126.18
_cell_angle_gamma 79.59
_space_group_name_H-M_alt 'P 1'
_space_group_IT_number 1
_space_group_name_Hall 'P 1'
loop_
_atom_site_label
_atom_site_type_symbol
_atom_site_fract_x
_atom_site_fract_y
_atom_site_fract_z
S1 S 0.500 0.500 0.000
S2 S 0.250 0.750 0.500
Cu1 Cu 0.750 0.250 0.500
Al1 Al 0.404 0.883 0.012
Al2 Al 0.609 0.596 0.479
Al3 Al 0.117 0.130 0.521
Al4 Al 0.870 0.391 0.988
Ag1 Ag 0.000 0.000 0.000
```

=====

# 3
Density functional theory data (PBE-GGA) for a geometry-optimized RbTmTlSe3 structure.

Summary:
- mass density (g/cm3) = 6.2
- electronic total energy (eV per atom) = -4.244

```
data_RbTmTlSe3
_chemical_formula_sum 'Rb2 Tm2 Tl2 Se6'
_cell_length_a 9.658
_cell_length_b 9.658
_cell_length_c 9.609
_cell_angle_alpha 102.19
_cell_angle_beta 102.19
_cell_angle_gamma 25.05
_space_group_name_H-M_alt 'P 1'
_space_group_IT_number 1
_space_group_name_Hall 'P 1'
loop_
_atom_site_label
_atom_site_type_symbol
_atom_site_fract_x
_atom_site_fract_y
_atom_site_fract_z
Se1 Se 0.500 0.500 0.000
Se2 Se 0.000 0.000 0.500
Se3 Se 0.673 0.673 0.375
Se4 Se 0.331 0.331 0.227
Se5 Se 0.327 0.327 0.625
Se6 Se 0.669 0.669 0.773
Rb1 Rb 0.851 0.851 0.932
Rb2 Rb 0.149 0.149 0.068
Tl1 Tl 0.489 0.489 0.278
Tl2 Tl 0.511 0.511 0.722
Tm1 Tm 0.176 0.176 0.578
Tm2 Tm 0.824 0.824 0.422
```

=====

# 4
Density functional theory data (PBE-GGA) for a geometry-optimized DyHoIn2Pd4 structure.

Summary:
- mass density (g/cm3) = 10.1
- electronic total energy (eV per atom) = -5.245

```
data_DyHoIn2Pd4
_chemical_formula_sum 'Dy1 Ho1 In2 Pd4'
_cell_length_a 4.589
_cell_length_b 4.589
_cell_length_c 8.899
_cell_angle_alpha 90.00
_cell_angle_beta 90.00
_cell_angle_gamma 120.00
_space_group_name_H-M_alt 'P 1'
_space_group_IT_number 1
_space_group_name_Hall 'P 1'
loop_
_atom_site_label
_atom_site_type_symbol
_atom_site_fract_x
_atom_site_fract_y
_atom_site_fract_z
Pd1 Pd 0.000 0.000 0.662
Pd2 Pd 0.667 0.333 0.163
Pd3 Pd 0.667 0.333 0.837
Pd4 Pd 0.000 0.000 0.338
Dy1 Dy 0.000 0.000 0.000
In1 In 0.333 0.667 0.750
In2 In 0.333 0.667 0.250
Ho1 Ho 0.667 0.333 0.500
```

=====

# 5
Density functional theory data (PBE-GGA) for a geometry-optimized Tm2Sn4Mo3 structure.

Summary:
- mass density (g/cm3) = 9.7
- electronic total energy (eV per atom) = -6.561

```
data_Tm2Sn4Mo3
_chemical_formula_sum 'Tm4 Sn8 Mo6'
_cell_length_a 7.345
_cell_length_b 7.456
_cell_length_c 7.298
_cell_angle_alpha 90.00
_cell_angle_beta 108.89
_cell_angle_gamma 90.00
_space_group_name_H-M_alt 'P 1'
_space_group_IT_number 1
_space_group_name_Hall 'P 1'
loop_
_atom_site_label
_atom_site_type_symbol
_atom_site_fract_x
_atom_site_fract_y
_atom_site_fract_z
Sn1 Sn 0.006 0.356 0.861
Sn2 Sn 0.597 0.950 0.852
Sn3 Sn 0.006 0.144 0.361
Sn4 Sn 0.403 0.450 0.648
Sn5 Sn 0.994 0.856 0.639
Sn6 Sn 0.597 0.550 0.352
Sn7 Sn 0.994 0.644 0.139
Sn8 Sn 0.403 0.050 0.148
Tm1 Tm 0.313 0.674 0.955
Tm2 Tm 0.687 0.326 0.045
Tm3 Tm 0.313 0.826 0.455
Tm4 Tm 0.687 0.174 0.545
Mo1 Mo 0.253 0.144 0.751
Mo2 Mo 0.000 0.000 0.000
Mo3 Mo 0.000 0.500 0.500
Mo4 Mo 0.747 0.856 0.249
Mo5 Mo 0.253 0.356 0.251
Mo6 Mo 0.747 0.644 0.749
```

=====

# 6
Density functional theory data (PBE-GGA) for a geometry-optimized Sm2FeCoSi2 structure.

Summary:
- mass density (g/cm3) = 7.1
- electronic total energy (eV per atom) = -6.620

```
data_Sm2FeCoSi2
_chemical_formula_sum 'Sm2 Fe1 Co1 Si2'
_cell_length_a 3.997
_cell_length_b 3.997
_cell_length_c 6.907
_cell_angle_alpha 90.00
_cell_angle_beta 90.00
_cell_angle_gamma 90.00
_space_group_name_H-M_alt 'P 1'
_space_group_IT_number 1
_space_group_name_Hall 'P 1'
loop_
_atom_site_label
_atom_site_type_symbol
_atom_site_fract_x
_atom_site_fract_y
_atom_site_fract_z
Sm1 Sm 0.500 0.000 0.683
Sm2 Sm 0.000 0.500 0.317
Co1 Co 0.000 0.000 0.000
Si1 Si 0.000 0.500 0.826
Si2 Si 0.500 0.000 0.174
Fe1 Fe 0.500 0.500 0.000
```

=====

# 7
Density functional theory data (PBE-GGA) for a geometry-optimized Zr3PC2 structure.

Summary:
- mass density (g/cm3) = 6.1
- electronic total energy (eV per atom) = -9.245

```
data_Zr3PC2
_chemical_formula_sum 'Zr6 P2 C4'
_cell_length_a 3.425
_cell_length_b 3.425
_cell_length_c 17.655
_cell_angle_alpha 90.00
_cell_angle_beta 90.00
_cell_angle_gamma 120.00
_space_group_name_H-M_alt 'P 1'
_space_group_IT_number 1
_space_group_name_Hall 'P 1'
loop_
_atom_site_label
_atom_site_type_symbol
_atom_site_fract_x
_atom_site_fract_y
_atom_site_fract_z
C1 C 0.333 0.667 0.422
C2 C 0.667 0.333 0.922
C3 C 0.667 0.333 0.578
C4 C 0.333 0.667 0.078
Zr1 Zr 0.667 0.333 0.148
Zr2 Zr 0.000 0.000 0.500
Zr3 Zr 0.333 0.667 0.852
Zr4 Zr 0.667 0.333 0.352
Zr5 Zr 0.333 0.667 0.648
Zr6 Zr 0.000 0.000 0.000
P1 P 0.000 0.000 0.750
P2 P 0.000 0.000 0.250
```

=====

# 8
Density functional theory data (PBE-GGA) for a geometry-optimized Ho3Er3Te2Ir structure.

Summary:
- mass density (g/cm3) = 10.2
- electronic total energy (eV per atom) = -5.581

```
data_Ho3Er3Te2Ir
_chemical_formula_sum 'Ho3 Er3 Te2 Ir1'
_cell_length_a 8.293
_cell_length_b 8.293
_cell_length_c 3.958
_cell_angle_alpha 90.00
_cell_angle_beta 90.00
_cell_angle_gamma 120.00
_space_group_name_H-M_alt 'P 1'
_space_group_IT_number 1
_space_group_name_Hall 'P 1'
loop_
_atom_site_label
_atom_site_type_symbol
_atom_site_fract_x
_atom_site_fract_y
_atom_site_fract_z
Er1 Er 0.242 0.000 0.500
Er2 Er 0.758 0.758 0.500
Er3 Er 0.000 0.242 0.500
Ho1 Ho 0.000 0.605 0.000
Ho2 Ho 0.395 0.395 0.000
Ho3 Ho 0.605 0.000 0.000
Te1 Te 0.333 0.667 0.500
Te2 Te 0.667 0.333 0.500
Ir1 Ir 0.000 0.000 0.000
```